Here is a relaxed structure of KSnP from Alexandria via LeMat-Bulk. Energies are from GGA-PBE.

Results
Density, g/cm3: 3.44
M_tot, μB/f.u.: 0.0
DFT formation energy, meV/atom: -351

abc: 4.0274 4.0274 6.4838
angles: 90.00 90.00 120.00
Sites, in units of the cell vectors:
1 K 0.0000 0.0000 0.0000
2 Sn 0.3333 0.6667 0.5419
3 P 0.6667 0.3333 0.3436